# KHg2MoF8, relaxed, DFT PBE+U
data_KHg2MoF8
_chemical_formula_sum 'K1 Hg2 Mo1 F8'
_cell_length_a 4.754
_cell_length_b 5.486
_cell_length_c 7.615
_cell_angle_alpha 91.15
_cell_angle_beta 90.33
_cell_angle_gamma 90.83
_symmetry_space_group_name_H-M 'P -1'
_symmetry_Int_Tables_number 2
loop_
_symmetry_equiv_pos_as_xyz
'x,y,z'
'-x,-y,-z'
loop_
_atom_site_label
_atom_site_fract_x
_atom_site_fract_y
_atom_site_fract_z
_atom_site_occupancy
K1 0.000 0.000 0.000 1
Hg1 0.492 0.494 0.752 1
Mo1 0.000 0.000 0.500 1
F1 0.127 0.766 0.294 1
F2 0.130 0.770 0.701 1
F3 0.353 0.245 0.504 1
F4 0.455 0.259 0.006 1
# - calculated volume (Å³ per atom) = 16.5
# - crystal system = triclinic
# - E (eV per atom) = -4.020